1.
An optimized crystal structure of La4Tl2Ga, computed with PBE.

Calculated values
DOS(E_F): 1.38 states/eV/atom
Uncorrected energy: -4.244 eV/atom
Formation energy: -0.319 eV/atom
ρ: 7.35 Mg/m³
Total moment: 0.0 Bohr magnetons per cell

Cell lengths 5.515, 10.961, 7.734 Å; angles 90.00, 90.00, 90.00 degrees
Space group Amm2 (No. 38)
One atom of each set of equivalent atoms:
La 0.000 0.000 0.000 (multiplicity 2)
La 0.000 0.000 0.487 (multiplicity 2)
La 0.500 0.250 0.493 (multiplicity 4)
Tl 0.000 0.243 0.743 (multiplicity 4)
Ga 0.500 0.000 0.243 (multiplicity 2)

2.
An optimized crystal structure of YTc5, computed with PBE.

Calculated values
DOS(E_F): 0.94 states/eV/atom
Uncorrected energy: -9.609 eV/atom
Formation energy: 0.107 eV/atom
ρ: 9.15 Mg/m³
Total moment: 0.0 Bohr magnetons per cell

Cell lengths 5.2425, 5.2425, 4.4160 Å; angles 90.00, 90.00, 120.00 degrees
Space group P6/mmm (No. 191)
One atom of each set of equivalent atoms:
Y 0.0000 0.0000 0.0000 (multiplicity 1)
Tc 0.0000 0.5000 0.5000 (multiplicity 3)
Tc 0.3333 0.6667 0.0000 (multiplicity 2)

3.
An optimized crystal structure of AcTl2Ge, computed with PBE.

Calculated values
DOS(E_F): 0.72 states/eV/atom
Uncorrected energy: -3.666 eV/atom
Formation energy: -0.301 eV/atom
ρ: 10.08 Mg/m³
Total moment: 0.0 Bohr magnetons per cell

Cell lengths 4.677, 4.677, 5.334 Å; angles 90.00, 90.00, 90.00 degrees
Space group P4/mmm (No. 123)
One atom of each set of equivalent atoms:
Ac 0.000 0.000 0.000 (multiplicity 1)
Tl 0.000 0.500 0.500 (multiplicity 2)
Ge 0.500 0.500 0.000 (multiplicity 1)

4.
An optimized crystal structure of PmMgZr2, computed with PBE.

Calculated values
DOS(E_F): 1.08 states/eV/atom
Uncorrected energy: -5.743 eV/atom
Formation energy: 0.118 eV/atom
ρ: 5.86 Mg/m³
Total moment: 0.0 Bohr magnetons per cell

Cell lengths 4.616, 4.616, 4.679 Å; angles 90.00, 90.00, 90.00 degrees
Space group P4/mmm (No. 123)
One atom of each set of equivalent atoms:
Pm 0.000 0.000 0.000 (multiplicity 1)
Mg 0.500 0.500 0.000 (multiplicity 1)
Zr 0.000 0.500 0.500 (multiplicity 2)

5.
An optimized crystal structure of Hg4PtCl, computed with PBE.

Calculated values
Energy relative to the elements, uncorrected: 2.4 eV/f.u.
DOS(E_F): 0.75 states/eV/atom
Uncorrected energy: -1.115 eV/atom
ρ: 12.28 Mg/m³
Total moment: 0.0 Bohr magnetons per cell

Cell lengths 8.235, 8.235, 8.235 Å; angles 90.00, 90.00, 90.00 degrees
Space group F-43m (No. 216)
One atom of each set of equivalent atoms:
Hg 0.125 0.125 0.125 (multiplicity 16)
Pt 0.250 0.250 0.750 (multiplicity 4)
Cl 0.000 0.000 0.500 (multiplicity 4)

6.
An optimized crystal structure of BaMg3In2, computed with PBE.

Calculated values
DOS(E_F): 0.53 states/eV/atom
Uncorrected energy: -2.279 eV/atom
Formation energy: -0.249 eV/atom
ρ: 4.14 Mg/m³
Total moment: 0.0 Bohr magnetons per cell

Cell lengths 17.854, 4.807, 9.060 Å; angles 90.00, 114.71, 90.00 degrees
Space group C2/m (No. 12)
One atom of each set of equivalent atoms:
Ba 0.151 0.000 0.070 (multiplicity 4)
Mg 0.039 0.000 0.371 (multiplicity 4)
Mg 0.091 0.500 0.673 (multiplicity 4)
Mg 0.184 0.500 0.453 (multiplicity 4)
In 0.023 0.500 0.171 (multiplicity 4)
In 0.191 0.000 0.690 (multiplicity 4)